Entry 1:
Compound: VPtF2
Source: Alexandria
Functional: GGA+U
Structure: optimized geometry

Computed properties:
- Energy relative to the lowest polymorph listed for this composition: 0.0 meV/atom

a b c (Å): 2.9180 2.9180 29.2347
angles (deg): 90.00 90.00 120.00
Space group R-3m (No. 166, hexagonal axes)
Symmetry-distinct sites (fractional):
V 0.0000 0.0000 0.0000 [3 per cell]
Pt 0.0000 0.0000 0.5000 [3 per cell]
F 0.0000 0.0000 0.3740 [6 per cell]



Entry 2:
Compound: VPt3F
Source: Alexandria
Functional: GGA+U
Structure: optimized geometry

Computed properties:
- Energy relative to the lowest polymorph listed for this composition: 0.0 meV/atom

a b c (Å): 4.387 4.387 4.387
angles (deg): 90.00 90.00 90.00
Space group Pm-3m (No. 221)
Symmetry-distinct sites (fractional):
V 0.000 0.000 0.000 [1 per cell]
Pt 0.000 0.500 0.500 [3 per cell]
F 0.500 0.500 0.500 [1 per cell]